1.
First-principles (GGA-PBE) data for Sm2Al3InAg4 after structural relaxation, as listed in Alexandria via LeMat-Bulk.

The structure in extended XYZ format:
```
10
Lattice="4.4043 0.0000 0.0000 0.0000 4.4043 0.0000 0.0000 0.0000 11.0651" Properties=species:S:1:pos:R:3 pbc="T T T"
Sm 0.0000 2.2022 8.3927
Sm 2.2022 0.0000 2.6724
Al 0.0000 0.0000 5.5326
Al 2.2022 0.0000 9.6504
Al 0.0000 2.2022 1.4147
Ag 2.2022 0.0000 7.1531
Ag 0.0000 2.2022 3.9121
Ag 2.2022 2.2022 0.0000
Ag 0.0000 0.0000 0.0000
In 2.2022 2.2022 5.5326
```

Crystal system: tetragonal
Formation energy: -0.3046 eV/atom
Magnetization: 0.00 μB/cell

***

2.
First-principles (GGA-PBE) data for RbTi2F6 after structural relaxation, as listed in Alexandria via LeMat-Bulk.

The structure in extended XYZ format:
```
9
Lattice="-4.2595 -4.5941 2.2616 3.7048 -1.9575 3.0012 -3.0695 3.7303 1.7966" Properties=species:S:1:pos:R:3 pbc="T T T"
Rb 0.0000 0.0000 0.0000
F -1.5967 -3.8189 2.5976
F -2.0274 0.9976 4.4617
F -3.9826 -1.8157 2.1733
F -2.4900 -1.9810 4.6486
F 0.3585 -1.0056 4.8860
F -1.1342 -0.8402 2.4108
Ti -0.6830 -2.3586 3.7305
Ti -2.9411 -0.4627 3.3289
```

Crystal system: trigonal
Magnetization: 3.00 μB/cell
Energy relative to the elements, uncorrected: -3.08 eV per atom